CsK4O: relaxed, PBE-GGA.

## Properties
As for the crystal system: orthorhombic. For the formation energy (no corrections), the calculation gives -0.477 eV per atom. The calculation puts the relative energy among the computed polymorphs at 8 meV/atom. The total magnetic moment comes out at 0.00 μB per formula unit.

Cell: 4.8611 24.4098 12.4557 Å, 90.00 90.00 90.00°
Last column: nearest neighbours and their distance in Å.
Space group Cmc2_1 (No. 36)
Asymmetric unit:
Cs 0.0000 0.1347 0.0000 [4 per cell]  11 K 4.81-5.35, 2 Cs 4.86
K 0.0000 0.0727 0.5293 [4 per cell]  2 O 2.65
K 0.0000 0.3154 0.8464 [4 per cell]  1 O 2.49
K 0.0000 0.3346 0.1437 [4 per cell]  1 O 2.56
K 0.0000 0.4676 0.8262 [4 per cell]  1 O 2.57
O 0.0000 0.3941 0.9740 [4 per cell]  5 K 2.49-2.65


Zr2BiOs2: relaxed, PBE-GGA.

## Properties
As for the crystal system: tetragonal. The energy of formation from the pure elements comes out at -71 meV/atom. The total magnetic moment comes out at 0.00 μB per formula unit.

Cell: 7.8383 7.8383 3.2586 Å, 90.00 90.00 90.00°
Last column: nearest neighbours and their distance in Å.
Space group P4/mbm (No. 127)
Asymmetric unit:
Zr 0.1548 0.3452 0.0000 [4 per cell]  6 Os 2.80-2.84
Bi 0.0000 0.0000 0.5000 [2 per cell]  4 Os 3.05, 2 Bi 3.26, 8 Zr 3.38
Os 0.1351 0.6351 0.5000 [4 per cell]  6 Zr 2.80-2.84, 1 Os 2.99, 2 Bi 3.05


Ho5Er4: relaxed, PBE-GGA.

## Properties
As for the crystal system: orthorhombic. The energy of formation from the pure elements comes out at 42 meV/atom. The calculation puts the relative energy among the computed polymorphs at 20 meV/atom. The total magnetic moment comes out at 0.00 μB per formula unit.

Cell: 3.5665 11.9692 12.8942 Å, 90.00 90.00 90.00°
Last column: nearest neighbours and their distance in Å.
Space group Immm (No. 71)
Asymmetric unit:
Ho 0.0000 0.0000 0.0000 [2 per cell]  8 Er 3.49, 4 Ho 3.50-3.57
Ho 0.0000 0.0000 0.3738 [4 per cell]  7 Ho 3.25-3.57, 4 Er 3.43
Ho 0.0000 0.2925 0.0000 [4 per cell]  7 Ho 3.46-3.57, 4 Er 3.51
Er 0.0000 0.3559 0.3099 [8 per cell]  6 Ho 3.43-3.51, 5 Er 3.45-3.57


SrMgAg3: relaxed, PBE-GGA.

## Properties
As for the crystal system: hexagonal. The energy of formation from the pure elements comes out at -180 meV/atom. The calculation puts the relative energy among the computed polymorphs at 0 meV/atom. The total magnetic moment comes out at 0.00 μB per formula unit.

Cell: 6.8657 6.8657 6.0281 Å, 90.00 90.00 120.00°
Last column: nearest neighbours and their distance in Å.
Space group P6_3/mmc (No. 194)
Asymmetric unit:
Sr 0.3333 0.6667 0.2500 [2 per cell]  12 Ag 3.43-3.45
Mg 0.0000 0.0000 0.0000 [2 per cell]  6 Ag 2.78, 2 Mg 3.01
Ag 0.1965 0.3929 0.7500 [6 per cell]  2 Mg 2.78, 2 Ag 2.82


| no. | volume (Å³/f.u.) |
| --- | --- |
| 1 | 369.5 |
| 2 | 100.1 |
| 3 | 275.2 |
| 4 | 123.0 |